No. 1
Crystalline ErTiPd14 at its relaxed geometry, computed with PBE.

Properties
energy relative to the elements: -8.63 kcal/mol of atoms
DOS at the Fermi energy: 22.43 states/eV/f.u.

```
data_ErTiPd14
_symmetry_space_group_name_H-M 'P 4/m m m'
_symmetry_Int_Tables_number 123
_symmetry_space_group_name_Hall '-P 4 2'
_cell_length_a 5.6759
_cell_length_b 5.6759
_cell_length_c 7.8661
_cell_angle_alpha 90.00
_cell_angle_beta 90.00
_cell_angle_gamma 90.00
loop_
_atom_site_label
_atom_site_type_symbol
_atom_site_fract_x
_atom_site_fract_y
_atom_site_fract_z
Er1 Er 0.0000 0.0000 0.0000
Ti1 Ti 0.5000 0.5000 0.0000
Pd1 Pd 0.0000 0.0000 0.5000
Pd2 Pd 0.0000 0.5000 0.0000
Pd3 Pd 0.0000 0.5000 0.5000
Pd4 Pd 0.2558 0.2558 0.2489
Pd5 Pd 0.5000 0.5000 0.5000
```

=====

No. 2
Crystalline TmGa4Au2 at its relaxed geometry, computed with PBE.

Properties
energy relative to the elements: -10.32 kcal/mol of atoms
DOS at the Fermi energy: 1.97 states/eV/f.u.

```
data_TmGa4Au2
_symmetry_space_group_name_H-M 'P n m a'
_symmetry_Int_Tables_number 62
_cell_length_a 17.1993
_cell_length_b 4.3738
_cell_length_c 7.0285
_cell_angle_alpha 90.00
_cell_angle_beta 90.00
_cell_angle_gamma 90.00
loop_
_symmetry_equiv_pos_as_xyz
'x,y,z'
'-x,-y,-z'
'-x+1/2,-y,z+1/2'
'x+1/2,y,-z+1/2'
'x+1/2,-y+1/2,-z+1/2'
'-x+1/2,y+1/2,z+1/2'
'-x,y+1/2,-z'
'x,-y+1/2,z'
loop_
_atom_site_label
_atom_site_type_symbol
_atom_site_fract_x
_atom_site_fract_y
_atom_site_fract_z
Tm1 Tm 0.1428 0.2500 0.0260
Ga1 Ga 0.0398 0.7500 0.8636
Ga2 Ga 0.0630 0.2500 0.4645
Ga3 Ga 0.1819 0.7500 0.3359
Ga4 Ga 0.1867 0.7500 0.7447
Au1 Au 0.0321 0.7500 0.2413
Au2 Au 0.2158 0.2500 0.5467
```

=====

| no. | total magnetic moment (μB/f.u.) |
| --- | --- |
| 1 | 0.000 |
| 2 | 0.000 |